(a)
{"formula": "PdAu3O", "functional": "PBE", "state": "optimized geometry", "lattice": [[5.0296, 0.0000, 0.0000], [0.0000, 5.0296, 0.0000], [0.0000, 0.0000, 5.0296]], "species": ["Pd", "Au", "Au", "Au", "O"], "frac_coords": [[0.0000, 0.0000, 0.0000], [0.0000, 0.0000, 0.5000], [0.0000, 0.5000, 0.0000], [0.5000, 0.0000, 0.0000], [0.5000, 0.5000, 0.5000]], "space_group": "Pm-3m (221)", "vol_a3_per_cell": 127.2, "n_ef_per_ev_cell": 19.292}

(b)
{"formula": "PdAu3O", "functional": "PBE", "state": "optimized geometry", "lattice": [[4.4276, 0.0000, 0.0000], [0.0000, 4.4276, 0.0000], [0.0000, 0.0000, 4.4276]], "species": ["Pd", "Au", "Au", "Au", "O"], "frac_coords": [[0.0000, 0.0000, 0.0000], [0.0000, 0.5000, 0.5000], [0.5000, 0.0000, 0.5000], [0.5000, 0.5000, 0.0000], [0.5000, 0.5000, 0.5000]], "space_group": "Pm-3m (221)", "vol_a3_per_cell": 86.8, "n_ef_per_ev_cell": 1.038}

The energetic minimum among the shown structures is (b); the next structure lies 102.5 kJ/mol of atoms above.